Entry 1:
TaZn2FeO | the Alexandria database | PBE with a Hubbard U | optimized geometry; ρ = 8.477 Mg/m³; electronic total energy = -4.831 eV/atom; total magnetic moment = 2.6 μB/f.u.
1.0
-3.423 -2.455 -1.566
2.316 -1.741 -2.334
0.808 -3.122 3.130
Zn O Ta Fe
2 1 1 1
direct
0.500 0.000 0.000
0.000 0.000 0.500
0.000 0.000 0.000
0.500 0.500 0.500
0.000 0.500 0.000

---

Entry 2:
ZrTaFe2O | the Alexandria database | PBE with a Hubbard U | optimized geometry; ρ = 5.828 Mg/m³; electronic total energy = -5.510 eV/atom; total magnetic moment = 6.6 μB/f.u.
1.0
4.713 0.000 0.000
0.000 5.130 0.000
0.000 0.000 4.713
Zr Ta Fe O
1 1 2 1
direct
0.000 0.500 0.000
0.000 0.000 0.000
0.000 0.000 0.500
0.500 0.000 0.000
0.500 0.500 0.500

---

Entry 3:
ZrTa2FeO | the Alexandria database | PBE with a Hubbard U | optimized geometry; ρ = 10.744 Mg/m³; electronic total energy = -9.045 eV/atom; total magnetic moment = 3.2 μB/f.u.
1.0
4.189 0.000 0.000
0.000 4.624 0.000
0.000 0.000 4.189
Zr O Ta Fe
1 1 2 1
direct
0.000 0.500 0.000
0.000 0.000 0.000
0.500 0.000 0.000
0.000 0.000 0.500
0.500 0.500 0.500

---

Entry 4:
TbFeO3 | the Alexandria database | PBE with a Hubbard U | optimized geometry; ρ = 6.634 Mg/m³; electronic total energy = -7.523 eV/atom; total magnetic moment = 5.0 μB/f.u.
1.0
-2.669 2.080 0.794
-3.713 -4.493 -0.713
1.993 -2.572 5.829
Tb O Fe
2 6 2
direct
0.183 0.250 0.865
0.817 0.750 0.135
0.997 0.750 0.494
0.663 0.509 0.827
0.337 0.009 0.173
0.003 0.250 0.506
0.337 0.491 0.173
0.663 0.991 0.827
0.563 0.750 0.627
0.437 0.250 0.373

---

Entry 5:
TbFe2O4 | the Alexandria database | PBE with a Hubbard U | optimized geometry; ρ = 6.674 Mg/m³; electronic total energy = -7.261 eV/atom; total magnetic moment = 9.0 μB/f.u.
1.0
6.294 -0.002 2.848
3.147 4.913 1.429
1.133 -0.005 5.897
O Fe Tb
8 4 2
direct
0.683 0.792 0.171
0.598 0.334 0.295
0.682 0.166 0.795
0.152 0.166 0.205
0.225 0.708 0.671
0.067 0.708 0.329
0.525 0.792 0.829
0.068 0.334 0.705
0.375 0.250 0.250
0.875 0.750 0.750
0.375 0.250 0.750
0.375 0.750 0.250
0.996 0.008 0.000
0.754 0.492 0.500

---

Entry 6:
TbFeO3 | the Alexandria database | PBE with a Hubbard U | optimized geometry; ρ = 6.512 Mg/m³; electronic total energy = -7.492 eV/atom; total magnetic moment = 5.0 μB/f.u.
1.0
4.273 0.000 0.000
-2.136 4.232 -2.318
0.000 0.450 7.165
O Tb Fe
6 2 2
direct
0.833 0.666 0.454
0.840 0.680 0.859
0.160 0.320 0.141
0.520 0.039 0.694
0.480 0.961 0.306
0.167 0.334 0.546
0.948 0.896 0.199
0.052 0.104 0.801
0.322 0.644 0.423
0.678 0.356 0.577